TcSnF3 | the Alexandria database | PBE | relaxed; raw formation energy = -779 meV/atom; E above lowest polymorph = 188 meV/atom
1.0
4.634 0.000 0.000
0.000 4.634 0.000
0.000 0.000 4.634
Tc Sn F
1 1 3
direct
0.000 0.000 0.000
0.500 0.500 0.500
0.000 0.500 0.500
0.500 0.000 0.500
0.500 0.500 0.000

TcSn2F2 | the Alexandria database | PBE | relaxed; raw formation energy = -620 meV/atom; E above lowest polymorph = 107 meV/atom
1.0
-2.552 2.552 3.289
2.552 -2.552 3.289
2.552 2.552 -3.289
Tc Sn F
1 2 2
direct
0.000 0.000 0.000
0.250 0.750 0.500
0.750 0.250 0.500
0.323 0.323 0.000
0.677 0.677 0.000

TcSnF2 | the Alexandria database | PBE | relaxed; raw formation energy = -171 meV/atom; E above lowest polymorph = 727 meV/atom
1.0
-2.657 2.657 5.316
2.657 -2.657 5.316
2.657 2.657 -5.316
Tc Sn F
2 2 4
direct
0.000 0.000 0.000
0.750 0.250 0.500
0.250 0.750 0.500
0.500 0.500 0.000
0.055 0.625 0.930
0.375 0.305 0.430
0.695 0.125 0.070
0.875 0.945 0.570

TcSn2F2 | the Alexandria database | PBE | relaxed; raw formation energy = -727 meV/atom; E above lowest polymorph = 0 meV/atom
1.0
7.544 0.000 0.000
0.000 7.544 0.000
0.000 0.000 2.969
Tc Sn F
2 4 4
direct
0.000 0.000 0.000
0.500 0.500 0.000
0.226 0.274 0.500
0.274 0.774 0.500
0.726 0.226 0.500
0.774 0.726 0.500
0.111 0.611 0.000
0.389 0.111 0.000
0.611 0.889 0.000
0.889 0.389 0.000

TcSnF2 | the Alexandria database | PBE | relaxed; raw formation energy = -899 meV/atom; E above lowest polymorph = 0 meV/atom
1.0
1.462 0.844 8.251
-1.462 0.844 8.251
0.000 -1.688 8.251
Tc Sn F
1 1 2
direct
0.000 0.000 0.000
0.500 0.500 0.500
0.082 0.082 0.082
0.918 0.918 0.918

TcSnF2 | the Alexandria database | PBE | relaxed; raw formation energy = -440 meV/atom; E above lowest polymorph = 458 meV/atom
1.0
0.000 3.121 3.121
3.121 0.000 3.121
3.121 3.121 0.000
Tc Sn F
1 1 2
direct
0.000 0.000 0.000
0.500 0.500 0.500
0.250 0.250 0.250
0.750 0.750 0.750

TcSnF3 | the Alexandria database | PBE | relaxed; raw formation energy = -967 meV/atom; E above lowest polymorph = 0 meV/atom
1.0
4.364 0.000 0.000
0.000 4.364 0.000
0.000 0.000 4.364
Tc Sn F
1 1 3
direct
0.000 0.000 0.000
0.500 0.500 0.500
0.000 0.000 0.500
0.000 0.500 0.000
0.500 0.000 0.000

Tc3SnF | the Alexandria database | PBE | relaxed; raw formation energy = 2038 meV/atom; E above lowest polymorph = 1268 meV/atom
1.0
5.142 0.000 0.000
0.000 5.142 0.000
0.000 0.000 5.142
Tc Sn F
3 1 1
direct
0.000 0.000 0.500
0.000 0.500 0.000
0.500 0.000 0.000
0.000 0.000 0.000
0.500 0.500 0.500

Tc3SnF | the Alexandria database | PBE | relaxed; raw formation energy = 770 meV/atom; E above lowest polymorph = 0 meV/atom
1.0
4.262 0.000 0.000
0.000 4.262 0.000
0.000 0.000 4.262
Tc Sn F
3 1 1
direct
0.000 0.000 0.500
0.000 0.500 0.000
0.500 0.000 0.000
0.500 0.500 0.500
0.000 0.000 0.000

Ti2TcSnF | the Alexandria database | PBE | relaxed; raw formation energy = 114 meV/atom
1.0
4.714 0.000 0.000
0.000 4.714 0.000
0.000 0.000 5.157
Ti Tc Sn F
2 1 1 1
direct
0.000 0.500 0.000
0.500 0.000 0.000
0.000 0.000 0.000
0.000 0.000 0.500
0.500 0.500 0.500

TlTc2SnF | the Alexandria database | PBE | relaxed; raw formation energy = 1697 meV/atom
1.0
5.404 0.000 0.000
0.000 5.404 0.000
0.000 0.000 5.612
Tl Tc Sn F
1 2 1 1
direct
0.000 0.000 0.000
0.000 0.500 0.000
0.500 0.000 0.000
0.000 0.000 0.500
0.500 0.500 0.500

SnTe2F | the Alexandria database | PBE | relaxed; raw formation energy = -720 meV/atom; E above lowest polymorph = 0 meV/atom
1.0
-5.194 5.194 2.433
5.194 -5.194 2.433
5.194 5.194 -2.433
Sn Te F
2 4 2
direct
0.000 0.000 0.000
0.750 0.250 0.500
0.056 0.625 0.931
0.375 0.306 0.431
0.694 0.125 0.069
0.875 0.944 0.569
0.250 0.750 0.500
0.500 0.500 0.000

SnTe2F | the Alexandria database | PBE | relaxed; raw formation energy = -346 meV/atom; E above lowest polymorph = 374 meV/atom
1.0
0.000 3.604 3.604
3.604 0.000 3.604
3.604 3.604 0.000
Sn Te F
1 2 1
direct
0.000 0.000 0.000
0.250 0.250 0.250
0.750 0.750 0.750
0.500 0.500 0.500

SnTe2F | the Alexandria database | PBE | relaxed; raw formation energy = -358 meV/atom; E above lowest polymorph = 363 meV/atom
1.0
1.633 0.943 10.156
-1.633 0.943 10.156
0.000 -1.885 10.156
Sn Te F
1 2 1
direct
0.000 0.000 0.000
0.098 0.098 0.098
0.902 0.902 0.902
0.500 0.500 0.500

SnTe2F | the Alexandria database | PBE | relaxed; raw formation energy = -472 meV/atom; E above lowest polymorph = 249 meV/atom
1.0
2.115 1.221 8.168
-2.115 1.221 8.168
0.000 -2.442 8.168
Sn Te F
1 2 1
direct
0.000 0.000 0.000
0.406 0.406 0.406
0.594 0.594 0.594
0.500 0.500 0.500

Sn3TeF | the Alexandria database | PBE | relaxed; raw formation energy = -304 meV/atom; E above lowest polymorph = 0 meV/atom
1.0
5.098 0.000 0.000
0.000 5.098 0.000
0.000 0.000 5.098
Sn Te F
3 1 1
direct
0.000 0.000 0.500
0.000 0.500 0.000
0.500 0.000 0.000
0.500 0.500 0.500
0.000 0.000 0.000

SnTe3F | the Alexandria database | PBE | relaxed; raw formation energy = 392 meV/atom; E above lowest polymorph = 443 meV/atom
1.0
5.631 0.000 0.000
0.000 5.631 0.000
0.000 0.000 5.631
Sn Te F
1 3 1
direct
0.000 0.000 0.000
0.000 0.000 0.500
0.000 0.500 0.000
0.500 0.000 0.000
0.500 0.500 0.500

SnTe3F | the Alexandria database | PBE | relaxed; raw formation energy = -52 meV/atom; E above lowest polymorph = 0 meV/atom
1.0
5.060 0.000 0.000
0.000 5.060 0.000
0.000 0.000 5.060
Sn Te F
1 3 1
direct
0.000 0.000 0.000
0.000 0.500 0.500
0.500 0.000 0.500
0.500 0.500 0.000
0.500 0.500 0.500

Sn2TeF | the Alexandria database | PBE | relaxed; raw formation energy = -788 meV/atom; E above lowest polymorph = 0 meV/atom
1.0
2.852 1.647 3.791
-2.852 1.647 3.791
0.000 -3.293 3.791
Sn Te F
2 1 1
direct
0.196 0.196 0.196
0.804 0.804 0.804
0.500 0.500 0.500
0.000 0.000 0.000

Sn2TeF | the Alexandria database | PBE | relaxed; raw formation energy = -735 meV/atom; E above lowest polymorph = 53 meV/atom
1.0
-2.653 2.653 8.211
2.653 -2.653 8.211
2.653 2.653 -8.211
Sn Te F
4 2 2
direct
0.013 0.625 0.888
0.375 0.263 0.388
0.737 0.125 0.112
0.875 0.987 0.612
0.250 0.750 0.500
0.500 0.500 0.000
0.000 0.000 0.000
0.750 0.250 0.500

Sn3TeF | the Alexandria database | PBE | relaxed; raw formation energy = 356 meV/atom; E above lowest polymorph = 660 meV/atom
1.0
5.949 0.000 0.000
0.000 5.949 0.000
0.000 0.000 5.949
Sn Te F
3 1 1
direct
0.000 0.000 0.500
0.000 0.500 0.000
0.500 0.000 0.000
0.000 0.000 0.000
0.500 0.500 0.500

Sn2TeF2 | the Alexandria database | PBE | relaxed; raw formation energy = -1069 meV/atom; E above lowest polymorph = 111 meV/atom
1.0
8.185 0.000 0.000
0.000 8.185 0.000
0.000 0.000 3.116
Sn Te F
4 2 4
direct
0.156 0.344 0.000
0.344 0.844 0.000
0.656 0.156 0.000
0.844 0.656 0.000
0.000 0.000 0.500
0.500 0.500 0.500
0.110 0.610 0.500
0.390 0.110 0.500
0.610 0.890 0.500
0.890 0.390 0.500

Sn2TeF2 | the Alexandria database | PBE | relaxed; raw formation energy = -1180 meV/atom; E above lowest polymorph = 0 meV/atom
1.0
-2.448 2.448 4.668
2.448 -2.448 4.668
2.448 2.448 -4.668
Sn Te F
2 1 2
direct
0.250 0.750 0.500
0.750 0.250 0.500
0.000 0.000 0.000
0.339 0.339 0.000
0.661 0.661 0.000

Ti2SnTeF | the Alexandria database | PBE | relaxed; raw formation energy = -145 meV/atom
1.0
5.318 0.000 0.000
0.000 5.318 0.000
0.000 0.000 4.289
Ti Sn Te F
2 1 1 1
direct
0.000 0.500 0.000
0.500 0.000 0.000
0.000 0.000 0.000
0.500 0.500 0.500
0.000 0.000 0.500

Tl2SnTeF | the Alexandria database | PBE | relaxed; raw formation energy = -143 meV/atom
1.0
6.202 0.000 0.000
0.000 6.202 0.000
0.000 0.000 5.579
Tl Sn Te F
2 1 1 1
direct
0.000 0.500 0.000
0.500 0.000 0.000
0.000 0.000 0.000
0.000 0.000 0.500
0.500 0.500 0.500

TlSnTeF2 | the Alexandria database | PBE | relaxed; raw formation energy = -1353 meV/atom
1.0
4.668 0.000 0.000
0.000 4.668 0.000
0.000 0.000 5.866
Tl Sn Te F
1 1 1 2
direct
0.000 0.000 0.000
0.500 0.500 0.500
0.500 0.500 0.000
0.000 0.500 0.500
0.500 0.000 0.500

ThSn2F8 | the Alexandria database | PBE | relaxed; raw formation energy = -3050 meV/atom; E above lowest polymorph = 40 meV/atom
1.0
-2.006 3.292 6.310
2.006 -3.292 6.310
2.006 3.292 -6.310
Th Sn F
1 2 8
direct
0.000 0.000 0.000
0.349 0.349 0.000
0.651 0.651 0.000
0.106 0.606 0.500
0.142 0.871 0.272
0.318 0.500 0.818
0.401 0.129 0.272
0.599 0.871 0.728
0.682 0.500 0.182
0.858 0.129 0.728
0.894 0.394 0.500